Record 1
A geometry-optimized AgAu3F structure, computed with GGA-PBE.

**Distance to the lowest polymorph of the same formula**: 0.0 kJ per mole of atoms

POSCAR file:
```
AgAu3F
1.0
4.616 0.000 0.000
0.000 4.616 0.000
0.000 0.000 4.616
Ag Au F
1 3 1
direct
0.000 0.000 0.000
0.000 0.500 0.500
0.500 0.000 0.500
0.500 0.500 0.000
0.500 0.500 0.500
```

Record 2
A geometry-optimized Ag3AuF structure, computed with GGA-PBE.

**Distance to the lowest polymorph of the same formula**: 68.0 kJ per mole of atoms

POSCAR file:
```
Ag3AuF
1.0
5.214 0.000 0.000
0.000 5.214 0.000
0.000 0.000 5.214
Ag Au F
3 1 1
direct
0.000 0.000 0.500
0.000 0.500 0.000
0.500 0.000 0.000
0.000 0.000 0.000
0.500 0.500 0.500
```

Record 3
A geometry-optimized Ag4AuF2 structure, computed with GGA-PBE.

POSCAR file:
```
Ag4AuF2
1.0
2.307 -4.113 0.000
2.307 4.113 0.000
0.000 0.000 12.260
Ag Au F
8 2 4
direct
0.000 0.000 0.000
0.000 0.000 0.500
0.319 0.681 0.640
0.319 0.681 0.860
0.347 0.653 0.250
0.653 0.347 0.750
0.681 0.319 0.140
0.681 0.319 0.360
0.016 0.984 0.250
0.984 0.016 0.750
0.337 0.663 0.042
0.337 0.663 0.458
0.663 0.337 0.542
0.663 0.337 0.958
```

The calculation returns the following uncorrected formation energy values, one per record and in order: 353; 384; -504 meV per atom.
The calculation returns the following N(E_F) values, one per record and in order: 2.6; 2.8; 2.7 states/eV per cell.